## Be2GeP (GGA-PBE)

Data for crystalline Be2GeP at its relaxed geometry.

a b c (Å): 5.5369 5.5369 5.8058
angles (deg): 61.52 61.52 90.00
Closest atoms and distances in Å follow each position.
Sites, in units of the cell vectors:
Be  0.1709  0.6250  0.2500  2 P 2.08
Be  0.8750  0.8291  0.7500  2 P 2.08
Be  0.5791  0.1250  0.2500  2 P 2.08
Be  0.3750  0.4209  0.7500  2 P 2.08
P  0.2500  0.7500  0.5000  4 Be 2.08
Ge  0.7500  0.2500  0.5000  4 Be 2.40
P  0.5000  0.5000  0.0000  4 Be 2.08
Ge  0.0000  0.0000  0.0000  4 Be 2.40

Results
The energy relative to the lowest polymorph listed for this composition comes out at 0.000 eV/atom. Its crystal system is tetragonal.

=====

## GdY2Cd (GGA-PBE)

Data for crystalline GdY2Cd at its relaxed geometry.

a b c (Å): 5.4624 5.4624 5.4624
angles (deg): 60.00 60.00 60.00
Closest atoms and distances in Å follow each position.
Sites, in units of the cell vectors:
Cd  0.0000  0.0000  0.0000  8 Y 3.35
Y  0.2500  0.2500  0.2500  4 Gd 3.35, 4 Cd 3.35
Gd  0.5000  0.5000  0.5000  8 Y 3.35
Y  0.7500  0.7500  0.7500  4 Gd 3.35, 4 Cd 3.35

Results
The energy relative to the lowest polymorph listed for this composition comes out at 0.121 eV/atom. Its crystal system is cubic.

=====

> The lowest energy relative to the lowest polymorph listed for this composition belongs to which entry?

Be2GeP